# 1
Compound: Sm3AgTe
Source: Alexandria
Functional: GGA-PBE
Structure: optimized geometry

```
data_Sm3AgTe
_chemical_formula_sum 'Sm6 Ag2 Te2'
_symmetry_space_group_name_H-M 'P 1'
_symmetry_Int_Tables_number 1
_cell_length_a 6.741
_cell_length_b 6.741
_cell_length_c 9.390
_cell_angle_alpha 68.96
_cell_angle_beta 68.96
_cell_angle_gamma 60.00
loop_
_symmetry_equiv_pos_as_xyz
'x,y,z'
loop_
_atom_site_label
_atom_site_fract_x
_atom_site_fract_y
_atom_site_fract_z
Sm1 0.219 0.962 0.225
Sm2 0.962 0.595 0.225
Sm3 0.595 0.219 0.225
Sm4 0.781 0.405 0.775
Sm5 0.038 0.781 0.775
Sm6 0.405 0.038 0.775
Ag1 0.344 0.344 0.967
Ag2 0.656 0.656 0.033
Te1 0.167 0.167 0.498
Te2 0.833 0.833 0.502
```

***

# 2
Compound: Sm8Ag2Te
Source: Alexandria
Functional: GGA-PBE
Structure: optimized geometry

```
data_Sm8Ag2Te
_chemical_formula_sum 'Sm8 Ag2 Te1'
_symmetry_space_group_name_H-M 'P 1'
_symmetry_Int_Tables_number 1
_cell_length_a 5.711
_cell_length_b 8.284
_cell_length_c 8.284
_cell_angle_alpha 116.40
_cell_angle_beta 99.12
_cell_angle_gamma 99.12
loop_
_symmetry_equiv_pos_as_xyz
'x,y,z'
loop_
_atom_site_label
_atom_site_fract_x
_atom_site_fract_y
_atom_site_fract_z
Sm1 0.895 0.919 0.688
Sm2 0.895 0.688 0.919
Sm3 0.304 0.606 0.606
Sm4 0.500 0.762 0.238
Sm5 0.500 0.238 0.762
Sm6 0.696 0.394 0.394
Sm7 0.105 0.312 0.081
Sm8 0.105 0.081 0.312
Ag1 0.000 0.310 0.690
Ag2 0.000 0.690 0.310
Te1 0.500 0.000 0.000
```

***

# 3
Compound: Sm2AgTe
Source: Alexandria
Functional: GGA-PBE
Structure: optimized geometry

```
data_Sm2AgTe
_chemical_formula_sum 'Sm2 Ag1 Te1'
_symmetry_space_group_name_H-M 'P 1'
_symmetry_Int_Tables_number 1
_cell_length_a 4.285
_cell_length_b 4.285
_cell_length_c 7.932
_cell_angle_alpha 74.33
_cell_angle_beta 74.33
_cell_angle_gamma 60.00
loop_
_symmetry_equiv_pos_as_xyz
'x,y,z'
loop_
_atom_site_label
_atom_site_fract_x
_atom_site_fract_y
_atom_site_fract_z
Te1 0.500 0.500 0.500
Ag1 0.000 0.000 0.000
Sm1 0.252 0.252 0.243
Sm2 0.748 0.748 0.757
```

***

| no. | DFT total energy (eV per atom) | density of states at the Fermi level (states/eV per cell) | formation energy (no corrections) (eV/atom) |
| --- | --- | --- | --- |
| 1 | -4.423 | 8.40 | -0.3926 |
| 2 | -4.411 | 14.30 | -0.1748 |
| 3 | -4.601 | 4.22 | -0.7427 |